# 1
## Li2ZnPt2 (PBE)

Data for a relaxed structure of Li2ZnPt2.

Results
- E_form (kJ/mol of formula units) = -198.7

a b c (Å): 6.9710 6.9710 2.9179
angles (deg): 90.00 90.00 90.00
Closest atoms and distances in Å follow each position.
Fractional coordinates of all 10 atoms:
Zn1 0.0000 0.0000 0.0000  4 Pt 2.66, 2 Zn 2.92
Zn2 0.5000 0.5000 0.0000  4 Pt 2.66, 2 Zn 2.92
Pt1 0.3512 0.8512 0.0000  6 Li 2.47-2.54, 2 Zn 2.66
Pt2 0.8512 0.6488 0.0000  6 Li 2.47-2.54, 2 Zn 2.66
Pt3 0.6488 0.1488 0.0000  6 Li 2.47-2.54, 2 Zn 2.66
Pt4 0.1488 0.3512 0.0000  6 Li 2.47-2.54, 2 Zn 2.66
Li1 0.1497 0.6497 0.5000  6 Pt 2.47-2.54
Li2 0.6497 0.8503 0.5000  6 Pt 2.47-2.54
Li3 0.8503 0.3503 0.5000  6 Pt 2.47-2.54
Li4 0.3503 0.1497 0.5000  6 Pt 2.47-2.54

=====

# 2
## Dy2Ho5Tm4 (PBE)

Data for a relaxed structure of Dy2Ho5Tm4.

Results
- E_form (kJ/mol of formula units) = 106.5

a b c (Å): 5.5760 9.1943 24.1227
angles (deg): 162.58 96.64 90.00
Closest atoms and distances in Å follow each position.
Fractional coordinates of all 11 atoms:
Dy1 0.4110 0.2158 0.8219  6 Ho 3.33-3.69, 4 Tm 3.46-3.67
Dy2 0.5890 0.7842 0.1781  6 Ho 3.33-3.69, 4 Tm 3.46-3.67
Ho1 0.8413 0.1104 0.6826  3 Tm 3.14-3.47, 3 Ho 3.33-3.44, 1 Dy 3.41
Ho2 0.1587 0.8896 0.3174  3 Tm 3.14-3.47, 3 Ho 3.33-3.44, 1 Dy 3.41
Ho3 0.7890 0.4821 0.5780  3 Ho 3.33-3.44, 4 Tm 3.41-3.54, 2 Dy 3.42
Ho4 0.5000 0.0000 0.0000  2 Dy 3.33, 4 Ho 3.61, 6 Tm 3.67-3.73
Ho5 0.2110 0.5179 0.4220  3 Ho 3.33-3.44, 4 Tm 3.41-3.54, 2 Dy 3.42
Tm1 0.3146 0.3760 0.6293  5 Tm 3.35-3.53, 5 Ho 3.41-3.73, 2 Dy 3.53-3.67
Tm2 0.9485 0.9904 0.8969  3 Ho 3.14-3.47, 2 Tm 3.35, 2 Dy 3.46
Tm3 0.6854 0.6240 0.3707  5 Tm 3.35-3.53, 5 Ho 3.41-3.73, 2 Dy 3.53-3.67
Tm4 0.0515 0.0096 0.1031  3 Ho 3.14-3.47, 2 Tm 3.35, 2 Dy 3.46

=====

# 3
## PmRuI (PBE)

Data for a relaxed structure of PmRuI.

a b c (Å): 4.2544 4.2544 12.5530
angles (deg): 80.24 80.24 60.00
Closest atoms and distances in Å follow each position.
Fractional coordinates of all 6 atoms:
Pm1 0.4457 0.4457 0.6629  6 Ru 3.13-3.21, 3 I 3.26
Pm2 0.5543 0.5543 0.3371  6 Ru 3.13-3.21, 3 I 3.26
Ru1 0.1651 0.1651 0.5047  3 Ru 2.46
Ru2 0.8349 0.8349 0.4953  3 Ru 2.46
I1 0.7210 0.7210 0.8369  3 Pm 3.26
I2 0.2790 0.2790 0.1631  3 Pm 3.26

=====

# 4
## Sm2ZrHg (PBE)

Data for a relaxed structure of Sm2ZrHg.

Results
- E_form (kJ/mol of formula units) = 85.6

a b c (Å): 3.3370 3.3370 11.8664
angles (deg): 81.92 81.92 60.00
Closest atoms and distances in Å follow each position.
Fractional coordinates of all 4 atoms:
Zr1 0.0000 0.0000 0.0000  2 Sm 3.20, 6 Zr 3.34
Hg1 0.5000 0.5000 0.5000  6 Sm 3.28, 6 Hg 3.34
Sm1 0.0912 0.0912 0.7263  1 Zr 3.20, 3 Hg 3.28, 6 Sm 3.34
Sm2 0.9088 0.9088 0.2737  1 Zr 3.20, 3 Hg 3.28, 6 Sm 3.34

=====

# 5
## Ba4NCl5 (PBE)

Data for a relaxed structure of Ba4NCl5.

a b c (Å): 4.5250 8.3998 10.0602
angles (deg): 114.65 103.00 90.00
Closest atoms and distances in Å follow each position.
Fractional coordinates of all 10 atoms:
Ba1 0.3301 0.8303 0.6601  1 N 3.01, 4 Cl 3.10
Ba2 0.0000 0.7725 0.0000  2 N 2.96, 4 Cl 3.06-3.22
Ba3 0.6699 0.1697 0.3399  1 N 3.01, 4 Cl 3.10
Ba4 0.0000 0.2275 0.0000  2 N 2.96, 4 Cl 3.06-3.22
N1 0.5000 0.0000 0.0000  6 Ba 2.96-3.01
Cl1 0.8276 0.5759 0.6553  3 Ba 3.06-3.10
Cl2 0.8277 0.0800 0.6553  3 Ba 3.06-3.10
Cl3 0.1723 0.9200 0.3447  3 Ba 3.06-3.10
Cl4 0.5000 0.5000 0.0000  4 Ba 3.22
Cl5 0.1724 0.4241 0.3447  3 Ba 3.06-3.10

=====

# 6
## CaMg4Cu2 (PBE)

Data for a relaxed structure of CaMg4Cu2.

Results
- E_form (kJ/mol of formula units) = 216.4

a b c (Å): 6.8261 6.8261 6.8261
angles (deg): 97.35 97.35 138.10
Closest atoms and distances in Å follow each position.
Fractional coordinates of all 7 atoms:
Ca1 0.0000 0.0000 0.0000  8 Mg 3.33
Mg1 0.5000 0.2489 0.7489  2 Cu 2.55
Mg2 0.5000 0.7511 0.2511  2 Cu 2.55
Mg3 0.2489 0.5000 0.7489  2 Cu 2.55
Mg4 0.7511 0.5000 0.2511  2 Cu 2.55
Cu1 0.2500 0.7500 0.5000  2 Cu 2.44, 4 Mg 2.55
Cu2 0.7500 0.2500 0.5000  2 Cu 2.44, 4 Mg 2.55

=====

Computed VASP energy (eV/atom) in order:
-3.849, -4.443, -5.953, -4.350, -4.481, -2.047